VASP calculation (PBE with a Hubbard U) on a relaxed structure of LiTbPrNiO6.

Computed properties:
* raw total energy: -0.234 Ha/atom
* ρ: 6611 kg/m³

```
LiTbPrNiO6
1.0
3.5630 -3.6430 0.0000
3.5630 3.6430 0.0000
0.0000 0.0000 8.9294
Ni O Pr Tb Li
2 12 2 2 2
Direct
0.0000 0.5000 0.0000
0.5000 0.0000 0.5000
0.0000 0.5000 0.2405
0.1513 0.8579 0.0000
0.5000 0.0000 0.7405
0.5000 0.0000 0.2595
0.3967 0.3889 0.0000
0.1421 0.8487 0.5000
0.6111 0.6033 0.5000
0.0000 0.5000 0.7595
0.3889 0.3967 0.5000
0.8487 0.1421 0.0000
0.6033 0.6111 0.0000
0.8579 0.1513 0.5000
0.0000 0.0000 0.7500
0.0000 0.0000 0.2500
0.5000 0.5000 0.2500
0.5000 0.5000 0.7500
0.0000 0.5000 0.5000
0.5000 0.0000 0.0000
```